1.
The following is a DFT calculation (PBE-GGA) of a geometry-optimized Ac3Os2O9 structure.

Computed properties:
Its space group is No. 167. Its total energy is -7.93 eV/atom. The raw formation energy is -2259 meV/atom.

abc: 7.2400 7.2400 7.2400
angles: 87.35 87.35 87.35
Fractional positions:
Ac 0.0909 0.7500 0.4091
Ac 0.2500 0.5909 0.9091
Ac 0.4091 0.0909 0.7500
Ac 0.5909 0.9091 0.2500
Ac 0.7500 0.4091 0.0909
Ac 0.9091 0.2500 0.5909
Os 0.1609 0.1609 0.1609
Os 0.3391 0.3391 0.3391
Os 0.6609 0.6609 0.6609
Os 0.8391 0.8391 0.8391
O 0.0685 0.4315 0.2500
O 0.0811 0.9049 0.7421
O 0.0951 0.2579 0.9189
O 0.2422 0.4049 0.5811
O 0.2500 0.0685 0.4315
O 0.2579 0.9189 0.0951
O 0.4049 0.5811 0.2422
O 0.4189 0.7579 0.5951
O 0.4315 0.2500 0.0685
O 0.5685 0.7500 0.9315
O 0.5811 0.2421 0.4049
O 0.5951 0.4189 0.7579
O 0.7422 0.0811 0.9049
O 0.7500 0.9315 0.5685
O 0.7579 0.5951 0.4189
O 0.9049 0.7422 0.0811
O 0.9189 0.0951 0.2579
O 0.9315 0.5685 0.7500

***

2.
The following is a DFT calculation (PBE-GGA) of a geometry-optimized Gd2TcI structure.

Computed properties:
Its space group is No. 166. For the energy relative to the lowest polymorph listed for this composition, the calculation gives 117.8 meV per atom. Its total energy is -10.32 eV/atom. The raw formation energy is -301 meV/atom.

abc: 8.9921 8.9921 8.9921
angles: 24.54 24.54 24.54
Fractional positions:
Gd 0.2358 0.2358 0.2358
Gd 0.7642 0.7642 0.7642
Tc 0.5000 0.5000 0.5000
I 0.0000 0.0000 0.0000

***

3.
The following is a DFT calculation (PBE-GGA) of a geometry-optimized Ba4AsRh structure.

Computed properties:
For the formation energy, the calculation gives 3.6 eV/f.u. Its space group is No. 216. For the energy relative to the lowest polymorph listed for this composition, the calculation gives 1077.9 meV per atom. Its total energy is -2.69 eV/atom.

abc: 6.7942 6.7942 6.7942
angles: 60.00 60.00 60.00
Fractional positions:
Ba 0.1252 0.1252 0.1252
Ba 0.1252 0.1252 0.6243
Ba 0.1252 0.6243 0.1252
Ba 0.6243 0.1252 0.1252
As 0.5000 0.5000 0.5000
Rh 0.7500 0.7500 0.7500

***

4.
The following is a DFT calculation (PBE-GGA) of a geometry-optimized LaAsIr2 structure.

Computed properties:
For the formation energy, the calculation gives -2.3 eV/f.u. Its space group is No. 160. Its total energy is -7.40 eV/atom.

abc: 5.7080 5.7080 5.7080
angles: 45.05 45.05 45.05
Fractional positions:
La 0.0000 0.0000 0.0000
As 0.7941 0.7941 0.7941
Ir 0.2047 0.2047 0.2047
Ir 0.5280 0.5280 0.5280

***

5.
The following is a DFT calculation (PBE-GGA) of a geometry-optimized TmGeS3 structure.

Computed properties:
Its space group is No. 40. Its total energy is -5.34 eV/atom. The raw formation energy is -1049 meV/atom.

abc: 10.8250 4.7480 4.7480
angles: 94.17 90.00 90.00
Fractional positions:
Tm 0.0000 0.0000 0.0000
Tm 0.5000 0.0000 0.0000
Ge 0.2500 0.4977 0.1365
Ge 0.7500 0.1365 0.4977
S 0.0850 0.4839 0.8390
S 0.2500 0.0086 0.2796
S 0.4150 0.4839 0.8390
S 0.5850 0.8390 0.4839
S 0.7500 0.2796 0.0086
S 0.9150 0.8390 0.4839

***

6.
The following is a DFT calculation (PBE-GGA) of a geometry-optimized Y2Pb2O structure.

Computed properties:
Its space group is No. 127. For the energy relative to the lowest polymorph listed for this composition, the calculation gives 133.9 meV per atom. Its total energy is -6.22 eV/atom. The raw formation energy is -1155 meV/atom.

abc: 6.5245 6.5245 5.7276
angles: 90.00 90.00 90.00
Fractional positions:
Y 0.1812 0.3188 0.0000
Y 0.3188 0.8188 0.0000
Y 0.6812 0.1812 0.0000
Y 0.8188 0.6812 0.0000
Pb 0.1697 0.6697 0.5000
Pb 0.3303 0.1697 0.5000
Pb 0.6697 0.8303 0.5000
Pb 0.8303 0.3303 0.5000
O 0.0000 0.0000 0.0000
O 0.5000 0.5000 0.0000

***

7.
The following is a DFT calculation (PBE-GGA) of a geometry-optimized GaCl2F structure.

Computed properties:
Its space group is No. 122. For the energy relative to the lowest polymorph listed for this composition, the calculation gives 259.3 meV per atom. Its total energy is -3.48 eV/atom. The raw formation energy is -1331 meV/atom.

abc: 6.6006 6.6006 6.6006
angles: 95.05 95.05 145.47
Fractional positions:
Ga 0.0000 0.0000 0.0000
Ga 0.7500 0.2500 0.5000
Cl 0.3750 0.2152 0.3402
Cl 0.7848 0.1250 0.1598
Cl 0.8750 0.0348 0.6598
Cl 0.9652 0.6250 0.8402
F 0.2500 0.7500 0.5000
F 0.5000 0.5000 0.0000